Model P:
Below is KZrTc2 after structural relaxation, with properties calculated at the PBE-GGA level. Values from VASP.

Results
- ρ: 7.00 g cm⁻³
- Crystal system: orthorhombic
- N(E_F): 3.60 states/eV/cell
- Symmetry: Immm, No. 71

Geometry as Quantum ESPRESSO input:
```
&SYSTEM
  ibrav = 0, nat = 4, ntyp = 3
/
ATOMIC_SPECIES
K 39.10 K.upf
Tc 98.00 Tc.upf
Zr 91.22 Zr.upf
CELL_PARAMETERS angstrom
-3.673 -0.693 -4.316
-1.530 -5.362 -1.229
0.073 4.299 3.757
ATOMIC_POSITIONS crystal
K 0.250 0.750 0.500
Tc 0.981 0.981 0.000
Tc 0.519 0.519 0.000
Zr 0.750 0.250 0.500
```


Model Q:
Below is KZrTc2 after structural relaxation, with properties calculated at the PBE-GGA level. Values from VASP.

Results
- ρ: 7.03 g cm⁻³
- Crystal system: orthorhombic
- N(E_F): 4.51 states/eV/cell
- Symmetry: Cmmm, No. 65

Geometry as Quantum ESPRESSO input:
```
&SYSTEM
  ibrav = 0, nat = 4, ntyp = 3
/
ATOMIC_SPECIES
K 39.10 K.upf
Tc 98.00 Tc.upf
Zr 91.22 Zr.upf
CELL_PARAMETERS angstrom
6.489 -0.007 -0.030
-2.720 5.133 0.016
1.048 0.550 2.311
ATOMIC_POSITIONS crystal
K 0.500 0.500 0.000
Tc 0.000 0.000 0.000
Tc 0.500 0.000 0.500
Zr 0.000 0.500 0.500
```


Energies relative to the most stable structure are model P 8; model Q 0, reported in meV/atom.


Model P:
Below is K2ZrTc after structural relaxation, with properties calculated at the PBE-GGA level. Values from VASP.

Results
- ρ: 4.40 g cm⁻³
- Crystal system: orthorhombic
- N(E_F): 4.54 states/eV/cell
- Symmetry: Cmmm, No. 65

Geometry as Quantum ESPRESSO input:
```
&SYSTEM
  ibrav = 0, nat = 4, ntyp = 3
/
ATOMIC_SPECIES
K 39.10 K.upf
Tc 98.00 Tc.upf
Zr 91.22 Zr.upf
CELL_PARAMETERS angstrom
2.929 -0.116 0.000
-1.084 2.724 0.000
0.000 0.000 12.853
ATOMIC_POSITIONS crystal
K 0.000 0.000 0.026
K 0.000 0.000 0.474
Tc 0.500 0.500 0.250
Zr 0.500 0.500 0.750
```


Model Q:
Below is K2ZrTc after structural relaxation, with properties calculated at the PBE-GGA level. Values from VASP.

Results
- ρ: 4.30 g cm⁻³
- Crystal system: tetragonal
- N(E_F): 4.01 states/eV/cell
- Symmetry: P4/mmm, No. 123

Geometry as Quantum ESPRESSO input:
```
&SYSTEM
  ibrav = 0, nat = 4, ntyp = 3
/
ATOMIC_SPECIES
K 39.10 K.upf
Tc 98.00 Tc.upf
Zr 91.22 Zr.upf
CELL_PARAMETERS angstrom
6.365 0.000 0.000
0.000 4.027 0.000
0.000 0.000 4.027
ATOMIC_POSITIONS crystal
K 0.000 0.000 0.000
K 0.000 0.500 0.500
Tc 0.500 0.500 0.000
Zr 0.500 0.000 0.500
```


Model R:
Below is K2ZrTc after structural relaxation, with properties calculated at the PBE-GGA level. Values from VASP.

Results
- ρ: 3.28 g cm⁻³
- Crystal system: tetragonal
- N(E_F): 3.81 states/eV/cell
- Symmetry: P4mm, No. 99

Geometry as Quantum ESPRESSO input:
```
&SYSTEM
  ibrav = 0, nat = 4, ntyp = 3
/
ATOMIC_SPECIES
K 39.10 K.upf
Tc 98.00 Tc.upf
Zr 91.22 Zr.upf
CELL_PARAMETERS angstrom
-2.616 2.295 -0.542
-1.171 -1.967 -2.677
-6.346 -5.608 6.897
ATOMIC_POSITIONS crystal
K 0.000 0.000 0.944
K 0.500 0.500 0.330
Tc 0.000 0.000 0.567
Zr 0.500 0.500 0.659
```


Model S:
Below is K2ZrTc after structural relaxation, with properties calculated at the PBE-GGA level. Values from VASP.

Results
- ρ: 4.02 g cm⁻³
- Crystal system: cubic
- N(E_F): 10.12 states/eV/cell
- Symmetry: Fm-3m, No. 225

Geometry as Quantum ESPRESSO input:
```
&SYSTEM
  ibrav = 0, nat = 4, ntyp = 3
/
ATOMIC_SPECIES
K 39.10 K.upf
Tc 98.00 Tc.upf
Zr 91.22 Zr.upf
CELL_PARAMETERS angstrom
0.000 3.807 3.807
3.807 0.000 3.807
3.807 3.807 0.000
ATOMIC_POSITIONS crystal
K 0.250 0.250 0.250
K 0.750 0.750 0.750
Tc 0.500 0.500 0.500
Zr 0.000 0.000 0.000
```


Energies relative to the most stable structure are model P 716; model Q 605; model R 0; model S 1553, reported in meV/atom.


Model P:
Below is K2ZrTc after structural relaxation, with properties calculated at the PBE-GGA level. Values from VASP.

Results
- ρ: 4.30 g cm⁻³
- Crystal system: tetragonal
- N(E_F): 4.42 states/eV/cell
- Symmetry: I4/mmm, No. 139

Geometry as Quantum ESPRESSO input:
```
&SYSTEM
  ibrav = 0, nat = 4, ntyp = 3
/
ATOMIC_SPECIES
K 39.10 K.upf
Tc 98.00 Tc.upf
Zr 91.22 Zr.upf
CELL_PARAMETERS angstrom
-0.577 -5.401 4.357
4.459 -2.742 4.592
-2.953 5.809 -2.455
ATOMIC_POSITIONS crystal
K 0.000 0.000 0.000
K 0.500 0.500 0.000
Tc 0.250 0.750 0.500
Zr 0.750 0.250 0.500
```


Model Q:
Below is K2ZrTc after structural relaxation, with properties calculated at the PBE-GGA level. Values from VASP.

Results
- ρ: 4.35 g cm⁻³
- Crystal system: monoclinic
- N(E_F): 3.19 states/eV/cell
- Symmetry: P2/m, No. 10

Geometry as Quantum ESPRESSO input:
```
&SYSTEM
  ibrav = 0, nat = 4, ntyp = 3
/
ATOMIC_SPECIES
K 39.10 K.upf
Tc 98.00 Tc.upf
Zr 91.22 Zr.upf
CELL_PARAMETERS angstrom
6.504 0.000 0.000
0.000 3.339 -0.016
0.000 0.352 4.702
ATOMIC_POSITIONS crystal
K 0.000 0.008 0.006
K 0.000 0.492 0.494
Tc 0.500 0.250 0.250
Zr 0.500 0.750 0.750
```


Model R:
Below is K2ZrTc after structural relaxation, with properties calculated at the PBE-GGA level. Values from VASP.

Results
- ρ: 4.27 g cm⁻³
- Crystal system: tetragonal
- N(E_F): 3.97 states/eV/cell
- Symmetry: P4/mmm, No. 123

Geometry as Quantum ESPRESSO input:
```
&SYSTEM
  ibrav = 0, nat = 4, ntyp = 3
/
ATOMIC_SPECIES
K 39.10 K.upf
Tc 98.00 Tc.upf
Zr 91.22 Zr.upf
CELL_PARAMETERS angstrom
2.858 0.000 0.000
0.000 2.858 0.000
0.000 0.000 12.722
ATOMIC_POSITIONS crystal
K 0.000 0.000 0.031
K 0.000 0.000 0.469
Tc 0.500 0.500 0.250
Zr 0.500 0.500 0.750
```


Energies relative to the most stable structure are model P 27; model Q 0; model R 186, reported in meV/atom.